1 | ## CsMo2P3O13 (PBEsol)

Data for an optimized crystal structure of CsMo2P3O13.

Structure (POSCAR):
```
CsMo2P3O13
1.0
6.334 0.000 0.000
2.994 9.274 0.000
1.182 0.863 9.943
Cs Mo P O
2 4 6 26
Cartesian
0.000 0.000 0.000
2.147 4.508 5.303
2.904 0.863 2.907
4.393 3.880 8.550
6.066 5.016 2.182
7.553 8.026 7.834
2.901 4.105 1.742
4.392 7.169 7.147
4.301 1.677 5.917
6.152 7.218 4.823
6.069 1.731 3.606
7.556 4.780 8.988
2.378 3.845 8.534
0.968 0.841 3.430
2.573 2.661 2.158
4.145 5.700 7.409
3.118 4.213 0.221
4.729 7.328 5.582
3.232 1.779 4.838
5.538 7.772 7.971
4.133 4.594 2.522
5.687 9.276 1.501
4.360 2.982 6.714
4.698 2.476 9.390
6.280 8.449 3.961
7.155 9.737 6.806
5.765 6.399 1.324
6.105 5.921 4.017
7.780 8.885 9.239
6.329 4.270 8.212
4.919 1.152 2.768
7.218 7.124 5.909
5.721 1.535 5.168
6.165 3.790 0.566
6.321 3.202 3.371
7.877 6.218 8.563
9.491 8.061 7.310
8.075 5.024 2.198
```

Properties
- Total moment: 4.0 Bohr magnetons per cell
- Calculated density: 3.6 Mg/m³

2 | ## CsMo2P3O13 (PBEsol)

Data for an optimized crystal structure of CsMo2P3O13.

Structure (POSCAR):
```
CsMo2P3O13
1.0
6.392 0.000 0.000
0.000 19.731 0.000
-2.865 0.000 9.422
Cs Mo P O
4 8 12 52
Cartesian
1.055 0.000 1.215
0.020 16.259 4.755
3.507 6.393 4.667
2.472 9.866 8.208
-2.151 4.038 8.399
-0.727 9.731 5.408
1.019 3.282 4.193
2.440 8.845 1.215
1.087 18.711 8.208
2.508 13.148 5.229
4.254 19.597 4.015
5.678 13.904 1.023
-2.156 18.067 7.331
-0.693 12.814 4.304
0.954 5.801 1.965
-0.643 7.120 7.601
1.046 0.131 5.003
2.504 14.577 1.895
1.023 4.711 7.527
2.481 9.996 4.420
4.170 16.986 1.821
2.573 15.667 7.457
4.220 2.948 5.118
5.683 8.201 2.092
-0.443 6.617 2.024
-0.806 8.581 3.549
-0.580 13.508 2.945
-0.943 3.523 4.389
-2.269 2.472 8.942
-0.762 11.286 4.135
-1.782 6.130 7.746
0.406 8.894 1.298
0.810 4.808 0.840
-0.138 19.428 4.105
-0.726 7.867 6.262
-0.730 10.580 6.839
1.213 14.437 1.089
-0.862 18.226 8.138
0.956 2.437 2.758
0.510 13.247 5.162
1.070 5.123 3.332
-0.504 8.130 8.732
-0.129 4.043 8.270
2.074 6.810 1.784
1.021 1.619 5.365
2.593 10.421 0.708
1.251 9.585 5.258
1.009 18.996 6.264
1.150 4.338 6.063
0.753 6.313 7.563
2.775 16.179 1.859
2.377 14.204 3.360
2.518 9.130 3.159
2.276 19.451 4.164
0.935 0.555 8.714
2.506 11.484 4.058
1.453 16.676 7.638
3.656 13.908 1.153
4.031 17.996 0.690
2.457 14.989 6.090
3.017 3.382 4.260
2.571 12.303 6.665
4.389 8.360 1.285
2.314 4.571 8.333
4.257 0.714 2.583
4.253 17.732 3.160
3.666 9.562 5.318
2.717 14.674 8.582
3.121 18.760 8.125
5.309 15.996 1.676
4.289 1.420 5.287
5.796 12.338 0.480
4.470 13.388 5.033
4.107 3.642 6.477
4.334 18.447 5.873
3.970 16.483 7.398
```

Properties
- Total moment: 8.0 Bohr magnetons per cell
- Calculated density: 3.5 Mg/m³

Top of the stability list: 2, leading by 0.6 kJ/mol of atoms.

1 | ## CsTl3N (PBEsol)

Data for an optimized crystal structure of CsTl3N.

Structure (POSCAR):
```
CsTl3N
1.0
6.656 0.000 0.000
0.000 6.656 0.000
0.000 0.000 6.656
Cs Tl N
1 3 1
Cartesian
0.000 0.000 0.000
0.000 0.000 3.328
0.000 3.328 0.000
3.328 0.000 0.000
3.328 3.328 3.328
```

Properties
- Total moment: 1.6 Bohr magnetons per cell
- Calculated density: 4.3 Mg/m³

2 | ## CsTl3N (PBEsol)

Data for an optimized crystal structure of CsTl3N.

Structure (POSCAR):
```
CsTl3N
1.0
5.320 0.000 0.000
0.000 5.320 0.000
0.000 0.000 5.320
Cs Tl N
1 3 1
Cartesian
0.000 0.000 0.000
0.000 2.660 2.660
2.660 0.000 2.660
2.660 2.660 0.000
2.660 2.660 2.660
```

Properties
- Total moment: 1.2 Bohr magnetons per cell
- Calculated density: 8.4 Mg/m³

Top of the stability list: 2, leading by 119.1 kJ/mol of atoms.

1 | ## CsWN2 (PBEsol)

Data for an optimized crystal structure of CsWN2.

Structure (POSCAR):
```
CsWN2
1.0
0.000 4.357 4.357
4.357 0.000 4.357
4.357 4.357 0.000
Cs W N
2 2 4
Cartesian
1.089 1.089 1.089
7.624 7.624 7.624
3.267 3.267 3.267
5.446 5.446 5.446
4.357 2.178 2.178
2.178 4.357 2.178
2.178 2.178 4.357
4.357 4.357 4.357
```

Properties
- Total moment: 0.0 Bohr magnetons per cell
- Calculated density: 6.9 Mg/m³

2 | ## CsWN2 (PBEsol)

Data for an optimized crystal structure of CsWN2.

Structure (POSCAR):
```
CsWN2
1.0
0.000 2.947 2.947
2.947 0.000 2.947
2.947 2.947 0.000
Cs W N
1 1 2
Cartesian
0.000 0.000 0.000
2.947 2.947 2.947
1.473 1.473 1.473
4.420 4.420 4.420
```

Properties
- Total moment: 0.0 Bohr magnetons per cell
- Calculated density: 11.2 Mg/m³

Top of the stability list: 1, leading by 249.2 kJ/mol of atoms.

1 | ## CsNa2P2 (PBEsol)

Data for an optimized crystal structure of CsNa2P2.

Structure (POSCAR):
```
CsNa2P2
1.0
-2.590 2.590 4.877
2.590 -2.590 4.877
2.590 2.590 -4.877
Cs Na P
1 2 2
Cartesian
0.000 0.000 0.000
2.590 0.000 2.439
0.000 2.590 2.439
0.000 0.000 3.804
0.000 0.000 5.951
```

Properties
- Total moment: 0.0 Bohr magnetons per cell
- Calculated density: 3.1 Mg/m³

2 | ## CsNa2P2 (PBEsol)

Data for an optimized crystal structure of CsNa2P2.

Structure (POSCAR):
```
CsNa2P2
1.0
8.217 0.000 0.000
0.000 8.217 0.000
0.000 0.000 3.853
Cs Na P
2 4 4
Cartesian
0.000 0.000 0.000
4.108 4.108 0.000
1.258 2.850 0.000
2.850 6.958 0.000
5.367 1.258 0.000
6.958 5.367 0.000
0.789 4.897 1.927
3.320 0.789 1.927
4.897 7.428 1.927
7.428 3.320 1.927
```

Properties
- Total moment: 0.0 Bohr magnetons per cell
- Calculated density: 3.1 Mg/m³

Top of the stability list: 1, leading by 17.8 kJ/mol of atoms.

1 | ## CsRb2Na (PBEsol)

Data for an optimized crystal structure of CsRb2Na.

Structure (POSCAR):
```
CsRb2Na
1.0
0.000 5.281 5.281
5.281 0.000 5.281
5.281 5.281 0.000
Cs Rb Na
1 2 1
Cartesian
0.000 0.000 0.000
2.640 2.640 2.640
7.921 7.921 7.921
5.281 5.281 5.281
```

Properties
- Total moment: 0.0 Bohr magnetons per cell
- Calculated density: 1.8 Mg/m³

2 | ## CsRb2Na (PBEsol)

Data for an optimized crystal structure of CsRb2Na.

Structure (POSCAR):
```
CsRb2Na
1.0
-3.150 3.150 16.010
3.150 -3.150 16.010
3.150 3.150 -16.010
Cs Rb Na
2 4 2
Cartesian
0.000 0.000 0.000
0.000 3.150 8.005
1.575 -1.458 12.008
1.693 1.575 4.003
1.575 4.608 -4.003
1.458 1.575 20.013
3.150 0.000 8.005
0.000 0.000 16.010
```

Properties
- Total moment: 0.0 Bohr magnetons per cell
- Calculated density: 1.7 Mg/m³

Top of the stability list: 1, leading by 5.2 kJ/mol of atoms.

1 | ## CsNbTe3 (PBEsol)

Data for an optimized crystal structure of CsNbTe3.

Structure (POSCAR):
```
CsNbTe3
1.0
5.488 0.000 0.000
0.000 5.488 0.000
0.000 0.000 5.488
Cs Nb Te
1 1 3
Cartesian
0.000 0.000 0.000
2.744 2.744 2.744
0.000 2.744 2.744
2.744 0.000 2.744
2.744 2.744 0.000
```

Properties
- Total moment: 0.0 Bohr magnetons per cell
- Calculated density: 6.1 Mg/m³

2 | ## CsNbTe3 (PBEsol)

Data for an optimized crystal structure of CsNbTe3.

Structure (POSCAR):
```
CsNbTe3
1.0
5.943 0.000 0.000
0.000 5.943 0.000
0.000 0.000 5.943
Cs Nb Te
1 1 3
Cartesian
0.000 0.000 0.000
2.972 2.972 2.972
0.000 0.000 2.972
0.000 2.972 0.000
2.972 0.000 0.000
```

Properties
- Total moment: 2.4 Bohr magnetons per cell
- Calculated density: 4.8 Mg/m³

Top of the stability list: 1, leading by 215.7 kJ/mol of atoms.

1 | ## CsZnPO4 (PBEsol)

Data for an optimized crystal structure of CsZnPO4.

Structure (POSCAR):
```
CsZnPO4
1.0
9.185 0.000 0.000
0.000 5.444 0.000
-0.113 0.000 18.388
Cs Zn P O
8 8 8 32
Cartesian
1.710 1.167 4.614
1.654 1.555 13.809
2.620 1.327 9.126
2.563 1.396 18.320
6.509 4.049 0.068
6.452 4.118 9.263
7.418 3.889 4.580
7.361 4.278 13.774
0.708 4.077 10.812
0.765 4.090 1.618
3.732 3.861 6.123
3.675 4.306 15.317
5.397 1.139 3.072
5.340 1.584 12.266
8.307 1.354 16.771
8.363 1.368 7.576
0.642 4.074 16.613
0.698 4.093 7.419
3.718 3.870 2.847
3.661 4.296 12.041
5.411 1.148 6.347
5.354 1.574 15.542
8.373 1.352 10.969
8.430 1.370 1.775
0.048 0.247 11.655
0.104 2.475 2.461
0.309 2.736 6.766
0.252 5.430 15.960
0.398 4.073 8.919
0.341 4.093 18.113
2.140 3.780 16.380
2.197 4.386 7.186
2.606 3.773 11.033
2.662 4.394 1.839
3.144 4.000 4.279
3.087 4.167 13.473
3.963 0.338 11.708
4.020 2.384 2.514
4.061 0.731 15.710
4.117 1.991 6.516
4.954 3.453 11.872
5.011 4.713 2.678
5.052 3.060 15.875
5.109 5.106 6.681
5.984 1.278 4.915
5.928 1.444 14.110
6.409 1.051 16.550
6.466 1.672 7.355
6.875 1.058 11.203
6.932 1.664 2.008
8.731 1.351 0.275
8.674 1.371 9.470
8.820 0.014 2.428
8.763 2.708 11.623
8.967 2.969 15.928
9.024 5.198 6.733
```

Properties
- Total moment: 0.0 Bohr magnetons per cell
- Calculated density: 4.2 Mg/m³

2 | ## CsZnPO4 (PBEsol)

Data for an optimized crystal structure of CsZnPO4.

Structure (POSCAR):
```
CsZnPO4
1.0
8.928 0.000 0.000
0.000 5.528 0.000
0.000 0.000 9.615
Cs Zn P O
4 4 4 16
Cartesian
0.151 1.382 1.892
4.313 4.146 6.699
4.616 1.382 2.916
8.777 4.146 7.724
1.479 4.146 3.876
2.985 1.382 8.683
5.944 4.146 0.932
7.449 1.382 5.740
1.940 1.382 5.457
2.524 4.146 0.649
6.404 1.382 8.966
6.988 4.146 4.158
0.435 1.382 5.728
1.710 4.146 1.954
2.090 2.898 9.445
2.090 5.394 9.445
2.374 0.134 4.637
2.374 2.630 4.637
2.754 1.382 6.762
4.030 4.146 0.920
4.899 1.382 8.696
6.174 4.146 2.853
6.554 2.898 4.978
6.554 5.394 4.978
6.839 0.134 0.171
6.839 2.630 0.171
7.219 1.382 7.661
8.494 4.146 3.888
```

Properties
- Total moment: 0.0 Bohr magnetons per cell
- Calculated density: 4.1 Mg/m³

Top of the stability list: 1, leading by 1.7 kJ/mol of atoms.